(1)
## LaAgBi3 (GGA-PBE)

Data for a geometry-optimized LaAgBi3 structure. Values from VASP.

Values from the calculation:
crystal system: cubic
N(E_F): 1.057 states/eV/atom
uncorrected energy: -0.2373 Ry per atom
energy above the most stable polymorph in this dataset: 3.322 eV/f.u.
energy relative to the elements: 0.655 eV/atom

The structure in Quantum ESPRESSO input format:
```
&SYSTEM
  ibrav = 0, nat = 5, ntyp = 3
/
ATOMIC_SPECIES
La 138.91 La.upf
Ag 107.87 Ag.upf
Bi 208.98 Bi.upf
ATOMIC_POSITIONS angstrom
La 0.000 0.000 0.000
Ag 3.075 3.075 3.075
Bi 0.000 0.000 3.075
Bi 0.000 3.075 0.000
Bi 3.075 0.000 0.000
CELL_PARAMETERS angstrom
6.151 0.000 0.000
0.000 6.151 0.000
0.000 0.000 6.151
```

***

(2)
## LaAgBi (GGA-PBE)

Data for a geometry-optimized LaAgBi structure. Values from VASP.

Values from the calculation:
crystal system: tetragonal
N(E_F): 0.468 states/eV/atom
uncorrected energy: -0.3136 Ry per atom
energy relative to the elements: -0.381 eV/atom

The structure in Quantum ESPRESSO input format:
```
&SYSTEM
  ibrav = 0, nat = 3, ntyp = 3
/
ATOMIC_SPECIES
La 138.91 La.upf
Ag 107.87 Ag.upf
Bi 208.98 Bi.upf
ATOMIC_POSITIONS angstrom
La 0.000 0.000 0.000
Ag 0.000 0.000 3.138
Bi 0.000 0.000 6.147
CELL_PARAMETERS angstrom
-2.177 2.177 4.722
2.177 -2.177 4.722
2.177 2.177 -4.722
```

***

(3)
## La2AgBi3 (GGA-PBE)

Data for a geometry-optimized La2AgBi3 structure. Values from VASP.

Values from the calculation:
crystal system: tetragonal
N(E_F): 2.308 states/eV/atom
uncorrected energy: -0.2187 Ry per atom
energy relative to the elements: 1.082 eV/atom

The structure in Quantum ESPRESSO input format:
```
&SYSTEM
  ibrav = 0, nat = 6, ntyp = 3
/
ATOMIC_SPECIES
La 138.91 La.upf
Ag 107.87 Ag.upf
Bi 208.98 Bi.upf
ATOMIC_POSITIONS angstrom
La 0.000 0.000 3.048
La 0.000 0.000 14.369
Ag 0.000 0.000 8.708
Bi 0.000 0.000 0.000
Bi 0.000 0.000 6.002
Bi 0.000 0.000 11.414
CELL_PARAMETERS angstrom
9.501 0.000 0.000
0.000 9.501 0.000
0.000 0.000 17.417
```

***

(4)
## La2Ag2Bi (GGA-PBE)

Data for a geometry-optimized La2Ag2Bi structure. Values from VASP.

Values from the calculation:
crystal system: tetragonal
N(E_F): 0.706 states/eV/atom
uncorrected energy: -0.3125 Ry per atom
energy above the most stable polymorph in this dataset: 0.547 eV/f.u.
energy relative to the elements: -0.364 eV/atom

The structure in Quantum ESPRESSO input format:
```
&SYSTEM
  ibrav = 0, nat = 5, ntyp = 3
/
ATOMIC_SPECIES
La 138.91 La.upf
Ag 107.87 Ag.upf
Bi 208.98 Bi.upf
ATOMIC_POSITIONS angstrom
La 0.000 0.000 1.901
La 0.000 0.000 15.966
Ag 2.019 0.000 4.467
Ag 0.000 2.019 4.467
Bi 0.000 0.000 8.933
CELL_PARAMETERS angstrom
-2.019 2.019 8.933
2.019 -2.019 8.933
2.019 2.019 -8.933
```

***

(5)
## LaMgAgBi (GGA-PBE)

Data for a geometry-optimized LaMgAgBi structure. Values from VASP.

Values from the calculation:
crystal system: cubic
N(E_F): 0.752 states/eV/atom
uncorrected energy: -0.2699 Ry per atom
energy relative to the elements: -0.359 eV/atom

The structure in Quantum ESPRESSO input format:
```
&SYSTEM
  ibrav = 0, nat = 4, ntyp = 4
/
ATOMIC_SPECIES
La 138.91 La.upf
Mg 24.30 Mg.upf
Ag 107.87 Ag.upf
Bi 208.98 Bi.upf
ATOMIC_POSITIONS angstrom
La 0.000 0.000 0.000
Mg 3.793 3.793 3.793
Ag 1.896 1.896 1.896
Bi 5.689 5.689 5.689
CELL_PARAMETERS angstrom
0.000 3.793 3.793
3.793 0.000 3.793
3.793 3.793 0.000
```

***

(6)
## LaNiAgBi2 (GGA-PBE)

Data for a geometry-optimized LaNiAgBi2 structure. Values from VASP.

Values from the calculation:
crystal system: tetragonal
N(E_F): 1.547 states/eV/atom
uncorrected energy: -0.2222 Ry per atom
energy relative to the elements: 1.241 eV/atom

The structure in Quantum ESPRESSO input format:
```
&SYSTEM
  ibrav = 0, nat = 5, ntyp = 4
/
ATOMIC_SPECIES
La 138.91 La.upf
Ni 58.69 Ni.upf
Ag 107.87 Ag.upf
Bi 208.98 Bi.upf
ATOMIC_POSITIONS angstrom
La 0.000 0.000 0.000
Ni 3.050 3.050 2.818
Ag 0.000 0.000 2.818
Bi 0.000 3.050 0.000
Bi 3.050 0.000 0.000
CELL_PARAMETERS angstrom
6.100 0.000 0.000
0.000 6.100 0.000
0.000 0.000 5.636
```

***

(7)
## La2AgBiO (GGA-PBE)

Data for a geometry-optimized La2AgBiO structure. Values from VASP.

Values from the calculation:
raw formation energy: -1.280 eV per atom
crystal system: tetragonal
N(E_F): 0.825 states/eV/atom
uncorrected energy: -0.4108 Ry per atom

The structure in Quantum ESPRESSO input format:
```
&SYSTEM
  ibrav = 0, nat = 5, ntyp = 4
/
ATOMIC_SPECIES
La 138.91 La.upf
Ag 107.87 Ag.upf
Bi 208.98 Bi.upf
O 16.00 O.upf
ATOMIC_POSITIONS angstrom
La 0.000 2.479 0.000
La 2.479 0.000 0.000
Ag 0.000 0.000 2.493
Bi 2.479 2.479 2.493
O 0.000 0.000 0.000
CELL_PARAMETERS angstrom
4.958 0.000 0.000
0.000 4.958 0.000
0.000 0.000 4.986
```

***

(8)
## La2AgBiO5 (GGA-PBE)

Data for a geometry-optimized La2AgBiO5 structure. Values from VASP.

Values from the calculation:
raw formation energy: -1.917 eV per atom
crystal system: tetragonal
uncorrected energy: -0.4788 Ry per atom

The structure in Quantum ESPRESSO input format:
```
&SYSTEM
  ibrav = 0, nat = 18, ntyp = 4
/
ATOMIC_SPECIES
La 138.91 La.upf
Ag 107.87 Ag.upf
Bi 208.98 Bi.upf
O 16.00 O.upf
ATOMIC_POSITIONS angstrom
La 1.234 2.241 0.000
La 2.241 5.715 0.000
La 4.708 1.234 0.000
La 5.715 4.708 0.000
Ag 0.000 0.000 3.271
Ag 3.474 3.474 3.271
Bi 0.000 3.474 3.271
Bi 3.474 0.000 3.271
O 0.000 0.000 0.000
O 1.017 4.491 1.541
O 1.017 4.491 5.001
O 2.458 1.017 1.541
O 2.458 1.017 5.001
O 3.474 3.474 0.000
O 4.491 5.932 1.541
O 4.491 5.932 5.001
O 5.932 2.458 1.541
O 5.932 2.458 5.001
CELL_PARAMETERS angstrom
6.949 0.000 0.000
0.000 6.949 0.000
0.000 0.000 6.541
```